[1]
# ReBiTe3 (PBEsol, relaxed)
# D(E_F)   5.34 states/eV per cell
# Raw formation energy   1.86 eV/atom
data_ReBiTe3
_chemical_formula_sum 'Re1 Bi1 Te3'
_space_group_name_H-M_alt 'P m -3 m'
_space_group_IT_number 221
_space_group_name_Hall '-P 4 2 3'
_cell_length_a 5.7617
_cell_length_b 5.7617
_cell_length_c 5.7617
_cell_angle_alpha 90.00
_cell_angle_beta 90.00
_cell_angle_gamma 90.00
loop_
_atom_site_label
_atom_site_fract_x
_atom_site_fract_y
_atom_site_fract_z
Re1 0.0000 0.0000 0.0000
Bi1 0.5000 0.5000 0.5000
Te1 0.0000 0.5000 0.5000

[2]
# ReBi3Te (PBEsol, relaxed)
# D(E_F)   3.96 states/eV per cell
# Raw formation energy   0.60 eV/atom
data_ReBi3Te
_chemical_formula_sum 'Re1 Bi3 Te1'
_space_group_name_H-M_alt 'P m -3 m'
_space_group_IT_number 221
_space_group_name_Hall '-P 4 2 3'
_cell_length_a 5.2755
_cell_length_b 5.2755
_cell_length_c 5.2755
_cell_angle_alpha 90.00
_cell_angle_beta 90.00
_cell_angle_gamma 90.00
loop_
_atom_site_label
_atom_site_fract_x
_atom_site_fract_y
_atom_site_fract_z
Re1 0.0000 0.0000 0.0000
Bi1 0.0000 0.0000 0.5000
Te1 0.5000 0.5000 0.5000

[3]
# TiReBi3 (PBEsol, relaxed)
# Uncorrected energy   -28.62 eV/cell
# D(E_F)   10.04 states/eV per cell
data_TiReBi3
_chemical_formula_sum 'Ti1 Re1 Bi3'
_space_group_name_H-M_alt 'P m -3 m'
_space_group_IT_number 221
_space_group_name_Hall '-P 4 2 3'
_cell_length_a 5.2741
_cell_length_b 5.2741
_cell_length_c 5.2741
_cell_angle_alpha 90.00
_cell_angle_beta 90.00
_cell_angle_gamma 90.00
loop_
_atom_site_label
_atom_site_fract_x
_atom_site_fract_y
_atom_site_fract_z
Ti1 0.0000 0.0000 0.0000
Re1 0.5000 0.5000 0.5000
Bi1 0.0000 0.5000 0.5000

[4]
# ZnRe3Bi (PBEsol, relaxed)
# Uncorrected energy   -29.01 eV/cell
# D(E_F)   8.29 states/eV per cell
data_ZnRe3Bi
_chemical_formula_sum 'Zn1 Re3 Bi1'
_space_group_name_H-M_alt 'P m -3 m'
_space_group_IT_number 221
_space_group_name_Hall '-P 4 2 3'
_cell_length_a 4.9145
_cell_length_b 4.9145
_cell_length_c 4.9145
_cell_angle_alpha 90.00
_cell_angle_beta 90.00
_cell_angle_gamma 90.00
loop_
_atom_site_label
_atom_site_fract_x
_atom_site_fract_y
_atom_site_fract_z
Zn1 0.0000 0.0000 0.0000
Re1 0.0000 0.5000 0.5000
Bi1 0.5000 0.5000 0.5000

[5]
# Zn3ReBi (PBEsol, relaxed)
# Offset from the most stable computed form   0.000 eV per atom
# D(E_F)   3.60 states/eV per cell
data_Zn3ReBi
_chemical_formula_sum 'Zn3 Re1 Bi1'
_space_group_name_H-M_alt 'P m -3 m'
_space_group_IT_number 221
_space_group_name_Hall '-P 4 2 3'
_cell_length_a 4.7752
_cell_length_b 4.7752
_cell_length_c 4.7752
_cell_angle_alpha 90.00
_cell_angle_beta 90.00
_cell_angle_gamma 90.00
loop_
_atom_site_label
_atom_site_fract_x
_atom_site_fract_y
_atom_site_fract_z
Zn1 0.0000 0.0000 0.5000
Re1 0.0000 0.0000 0.0000
Bi1 0.5000 0.5000 0.5000

[6]
# ZrRe3Bi (PBEsol, relaxed)
# Uncorrected energy   -39.87 eV/cell
# D(E_F)   7.74 states/eV per cell
data_ZrRe3Bi
_chemical_formula_sum 'Zr1 Re3 Bi1'
_space_group_name_H-M_alt 'P m -3 m'
_space_group_IT_number 221
_space_group_name_Hall '-P 4 2 3'
_cell_length_a 4.8479
_cell_length_b 4.8479
_cell_length_c 4.8479
_cell_angle_alpha 90.00
_cell_angle_beta 90.00
_cell_angle_gamma 90.00
loop_
_atom_site_label
_atom_site_fract_x
_atom_site_fract_y
_atom_site_fract_z
Zr1 0.0000 0.0000 0.0000
Re1 0.0000 0.5000 0.5000
Bi1 0.5000 0.5000 0.5000

[7]
# Bi3Rh (PBEsol, relaxed)
# Uncorrected energy   -86.65 eV/cell
# D(E_F)   8.37 states/eV per cell
data_Bi3Rh
_chemical_formula_sum 'Bi12 Rh4'
_space_group_name_H-M_alt 'P n m a'
_space_group_IT_number 62
_space_group_name_Hall '-P 2ac 2n'
_cell_length_a 8.8023
_cell_length_b 4.2370
_cell_length_c 11.3175
_cell_angle_alpha 90.00
_cell_angle_beta 90.00
_cell_angle_gamma 90.00
loop_
_atom_site_label
_atom_site_fract_x
_atom_site_fract_y
_atom_site_fract_z
Bi1 0.0946 0.2500 0.1814
Bi2 0.1017 0.2500 0.5955
Bi3 0.2011 0.2500 0.8878
Rh1 0.1016 0.7500 0.0220

[8]
# Bi4Rh (PBEsol, relaxed)
# Uncorrected energy   -625.57 eV/cell
# D(E_F)   31.82 states/eV per cell
data_Bi4Rh
_chemical_formula_sum 'Bi96 Rh24'
_space_group_name_H-M_alt 'I a -3 d'
_space_group_IT_number 230
_space_group_name_Hall '-I 4bd 2c 3'
_cell_length_a 14.8796
_cell_length_b 14.8796
_cell_length_c 14.8796
_cell_angle_alpha 90.00
_cell_angle_beta 90.00
_cell_angle_gamma 90.00
loop_
_atom_site_label
_atom_site_fract_x
_atom_site_fract_y
_atom_site_fract_z
Bi1 0.0257 0.0624 0.6524
Rh1 0.0000 0.2500 0.1250

[9]
# Bi14Rh3 (PBEsol, relaxed)
# Uncorrected energy   -692.87 eV/cell
# D(E_F)   63.48 states/eV per cell
data_Bi14Rh3
_chemical_formula_sum 'Bi112 Rh24'
_space_group_name_H-M_alt 'F d d d'
_space_group_IT_number 70
_cell_length_a 6.8119
_cell_length_b 17.3773
_cell_length_c 31.5958
_cell_angle_alpha 90.00
_cell_angle_beta 90.00
_cell_angle_gamma 90.00
loop_
_space_group_symop_operation_xyz
'x,y,z'
'-x,-y,-z'
'-x+1/4,-y+1/4,z'
'x+1/4,y+1/4,-z'
'x,-y+1/4,-z+1/4'
'-x,y+1/4,z+1/4'
'-x+1/4,y,-z+1/4'
'x+1/4,-y,z+1/4'
'x,y+1/2,z+1/2'
'-x,-y+1/2,-z+1/2'
'-x+1/4,-y+3/4,z+1/2'
'x+1/4,y+3/4,-z+1/2'
'x,-y+3/4,-z+3/4'
'-x,y+3/4,z+3/4'
'-x+1/4,y+1/2,-z+3/4'
'x+1/4,-y+1/2,z+3/4'
'x+1/2,y,z+1/2'
'-x+1/2,-y,-z+1/2'
'-x+3/4,-y+1/4,z+1/2'
'x+3/4,y+1/4,-z+1/2'
'x+1/2,-y+1/4,-z+3/4'
'-x+1/2,y+1/4,z+3/4'
'-x+3/4,y,-z+3/4'
'x+3/4,-y,z+3/4'
'x+1/2,y+1/2,z'
'-x+1/2,-y+1/2,-z'
'-x+3/4,-y+3/4,z'
'x+3/4,y+3/4,-z'
'x+1/2,-y+3/4,-z+1/4'
'-x+1/2,y+3/4,z+1/4'
'-x+3/4,y+1/2,-z+1/4'
'x+3/4,-y+1/2,z+1/4'
loop_
_atom_site_label
_atom_site_fract_x
_atom_site_fract_y
_atom_site_fract_z
Bi1 0.0091 0.2549 0.4277
Bi2 0.0686 0.3154 0.9272
Bi3 0.0936 0.3429 0.5164
Bi4 0.1250 0.3447 0.6250
Rh1 0.0000 0.0000 0.0000
Rh2 0.1250 0.1250 0.1250

[10]
# Bi3RuRh (PBEsol, relaxed)
# Uncorrected energy   -26.61 eV/cell
# D(E_F)   4.27 states/eV per cell
data_Bi3RuRh
_chemical_formula_sum 'Bi3 Ru1 Rh1'
_space_group_name_H-M_alt 'P m -3 m'
_space_group_IT_number 221
_space_group_name_Hall '-P 4 2 3'
_cell_length_a 5.1058
_cell_length_b 5.1058
_cell_length_c 5.1058
_cell_angle_alpha 90.00
_cell_angle_beta 90.00
_cell_angle_gamma 90.00
loop_
_atom_site_label
_atom_site_fract_x
_atom_site_fract_y
_atom_site_fract_z
Bi1 0.0000 0.0000 0.5000
Ru1 0.0000 0.0000 0.0000
Rh1 0.5000 0.5000 0.5000

[11]
# BiRhS (PBEsol, relaxed)
# Raw formation energy   -0.47 eV/atom
data_BiRhS
_chemical_formula_sum 'Bi4 Rh4 S4'
_space_group_name_H-M_alt 'P 21 3'
_space_group_IT_number 198
_space_group_name_Hall 'P 2ac 2ab 3'
_cell_length_a 6.1122
_cell_length_b 6.1122
_cell_length_c 6.1122
_cell_angle_alpha 90.00
_cell_angle_beta 90.00
_cell_angle_gamma 90.00
loop_
_atom_site_label
_atom_site_fract_x
_atom_site_fract_y
_atom_site_fract_z
Bi1 0.1298 0.3702 0.6298
Rh1 0.0246 0.9754 0.4754
S1 0.1197 0.1197 0.1197

[12]
# BiRh3S (PBEsol, relaxed)
# D(E_F)   9.47 states/eV per cell
# Raw formation energy   1.73 eV/atom
data_BiRh3S
_chemical_formula_sum 'Bi1 Rh3 S1'
_space_group_name_H-M_alt 'P m -3 m'
_space_group_IT_number 221
_space_group_name_Hall '-P 4 2 3'
_cell_length_a 4.8966
_cell_length_b 4.8966
_cell_length_c 4.8966
_cell_angle_alpha 90.00
_cell_angle_beta 90.00
_cell_angle_gamma 90.00
loop_
_atom_site_label
_atom_site_fract_x
_atom_site_fract_y
_atom_site_fract_z
Bi1 0.0000 0.0000 0.0000
Rh1 0.0000 0.0000 0.5000
S1 0.5000 0.5000 0.5000

[13]
# BiRhS2 (PBEsol, relaxed)
# D(E_F)   2.61 states/eV per cell
# Raw formation energy   -0.43 eV/atom
data_BiRhS2
_chemical_formula_sum 'Bi3 Rh3 S6'
_space_group_name_H-M_alt 'R -3 m'
_space_group_IT_number 166
_space_group_name_Hall '-R 3 2"'
_cell_length_a 3.5068
_cell_length_b 3.5068
_cell_length_c 23.9026
_cell_angle_alpha 90.00
_cell_angle_beta 90.00
_cell_angle_gamma 120.00
loop_
_atom_site_label
_atom_site_fract_x
_atom_site_fract_y
_atom_site_fract_z
Bi1 0.0000 0.0000 0.0000
Rh1 0.0000 0.0000 0.5000
S1 0.0000 0.0000 0.1174

[14]
# SiBi2RhS (PBEsol, relaxed)
# D(E_F)   3.35 states/eV per cell
# Raw formation energy   0.29 eV/atom
data_SiBi2RhS
_chemical_formula_sum 'Si1 Bi2 Rh1 S1'
_space_group_name_H-M_alt 'P 4/m m m'
_space_group_IT_number 123
_space_group_name_Hall '-P 4 2'
_cell_length_a 5.3275
_cell_length_b 5.3275
_cell_length_c 4.3879
_cell_angle_alpha 90.00
_cell_angle_beta 90.00
_cell_angle_gamma 90.00
loop_
_atom_site_label
_atom_site_fract_x
_atom_site_fract_y
_atom_site_fract_z
Si1 0.0000 0.0000 0.0000
Bi1 0.0000 0.5000 0.5000
Rh1 0.0000 0.0000 0.5000
S1 0.5000 0.5000 0.0000

[15]
# BiSb2Rh (PBEsol, relaxed)
# D(E_F)   7.88 states/eV per cell
# Raw formation energy   0.11 eV/atom
data_BiSb2Rh
_chemical_formula_sum 'Bi4 Sb8 Rh4'
_space_group_name_H-M_alt 'I -4 2 d'
_space_group_IT_number 122
_space_group_name_Hall 'I -4 2bw'
_cell_length_a 6.3857
_cell_length_b 6.3857
_cell_length_c 12.2914
_cell_angle_alpha 90.00
_cell_angle_beta 90.00
_cell_angle_gamma 90.00
loop_
_atom_site_label
_atom_site_fract_x
_atom_site_fract_y
_atom_site_fract_z
Bi1 0.0000 0.0000 0.0000
Sb1 0.1829 0.2500 0.6250
Rh1 0.0000 0.0000 0.5000

[16]
# BiSb3Rh (PBEsol, relaxed)
# D(E_F)   6.55 states/eV per cell
# Raw formation energy   1.70 eV/atom
data_BiSb3Rh
_chemical_formula_sum 'Bi1 Sb3 Rh1'
_space_group_name_H-M_alt 'P m -3 m'
_space_group_IT_number 221
_space_group_name_Hall '-P 4 2 3'
_cell_length_a 5.6197
_cell_length_b 5.6197
_cell_length_c 5.6197
_cell_angle_alpha 90.00
_cell_angle_beta 90.00
_cell_angle_gamma 90.00
loop_
_atom_site_label
_atom_site_fract_x
_atom_site_fract_y
_atom_site_fract_z
Bi1 0.0000 0.0000 0.0000
Sb1 0.0000 0.0000 0.5000
Rh1 0.5000 0.5000 0.5000

[17]
# Zn2BiSbRh (PBEsol, relaxed)
# D(E_F)   7.88 states/eV per cell
# Raw formation energy   1.43 eV/atom
data_Zn2BiSbRh
_chemical_formula_sum 'Zn2 Bi1 Sb1 Rh1'
_space_group_name_H-M_alt 'P 4/m m m'
_space_group_IT_number 123
_space_group_name_Hall '-P 4 2'
_cell_length_a 4.9458
_cell_length_b 4.9458
_cell_length_c 5.9218
_cell_angle_alpha 90.00
_cell_angle_beta 90.00
_cell_angle_gamma 90.00
loop_
_atom_site_label
_atom_site_fract_x
_atom_site_fract_y
_atom_site_fract_z
Zn1 0.0000 0.5000 0.0000
Bi1 0.0000 0.0000 0.0000
Sb1 0.0000 0.0000 0.5000
Rh1 0.5000 0.5000 0.5000

[18]
# BiRhSe3 (PBEsol, relaxed)
# D(E_F)   5.73 states/eV per cell
# Raw formation energy   0.11 eV/atom
data_BiRhSe3
_chemical_formula_sum 'Bi1 Rh1 Se3'
_space_group_name_H-M_alt 'P m -3 m'
_space_group_IT_number 221
_space_group_name_Hall '-P 4 2 3'
_cell_length_a 4.8305
_cell_length_b 4.8305
_cell_length_c 4.8305
_cell_angle_alpha 90.00
_cell_angle_beta 90.00
_cell_angle_gamma 90.00
loop_
_atom_site_label
_atom_site_fract_x
_atom_site_fract_y
_atom_site_fract_z
Bi1 0.0000 0.0000 0.0000
Rh1 0.5000 0.5000 0.5000
Se1 0.0000 0.5000 0.5000

[19]
# Si3BiRh (PBEsol, relaxed)
# Offset from the most stable computed form   0.000 eV per atom
# D(E_F)   2.00 states/eV per cell
# Raw formation energy   0.23 eV/atom
data_Si3BiRh
_chemical_formula_sum 'Si3 Bi1 Rh1'
_space_group_name_H-M_alt 'P m -3 m'
_space_group_IT_number 221
_space_group_name_Hall '-P 4 2 3'
_cell_length_a 4.6529
_cell_length_b 4.6529
_cell_length_c 4.6529
_cell_angle_alpha 90.00
_cell_angle_beta 90.00
_cell_angle_gamma 90.00
loop_
_atom_site_label
_atom_site_fract_x
_atom_site_fract_y
_atom_site_fract_z
Si1 0.0000 0.0000 0.5000
Bi1 0.5000 0.5000 0.5000
Rh1 0.0000 0.0000 0.0000

[20]
# SiTcBiRh2 (PBEsol, relaxed)
# D(E_F)   3.89 states/eV per cell
# Raw formation energy   0.81 eV/atom
data_SiTcBiRh2
_chemical_formula_sum 'Si1 Tc1 Bi1 Rh2'
_space_group_name_H-M_alt 'P 4/m m m'
_space_group_IT_number 123
_space_group_name_Hall '-P 4 2'
_cell_length_a 4.6842
_cell_length_b 4.6842
_cell_length_c 4.5536
_cell_angle_alpha 90.00
_cell_angle_beta 90.00
_cell_angle_gamma 90.00
loop_
_atom_site_label
_atom_site_fract_x
_atom_site_fract_y
_atom_site_fract_z
Si1 0.0000 0.0000 0.0000
Tc1 0.0000 0.0000 0.5000
Bi1 0.5000 0.5000 0.0000
Rh1 0.0000 0.5000 0.5000